# 1
! YTiInAg2, single point on PBEsol structure, DFT SCAN; values from VASP
&SYSTEM
  ibrav = 0, nat = 5, ntyp = 4
/
ATOMIC_SPECIES
Ag 107.87 Ag.upf
Y 88.91 Y.upf
Ti 47.87 Ti.upf
In 114.82 In.upf
ATOMIC_POSITIONS angstrom
Ag -1.178 -0.671 -2.021
Ag -1.775 -0.966 1.355
Y -4.190 0.604 -0.688
Ti 0.000 0.000 0.000
In -1.237 2.241 -0.023
CELL_PARAMETERS angstrom
-2.356 -1.341 -4.041
-3.550 -1.932 2.711
-2.474 4.481 -0.045
! - total magnetic moment (μB/f.u.) = 1.6
! - formation enthalpy at 0 K (eV/atom) = 0.382
! - crystal system = tetragonal
! - D(E_F) (states/eV/atom) = 0.76

# 2
! AlGeN3, single point on PBEsol structure, DFT SCAN; values from VASP
&SYSTEM
  ibrav = 0, nat = 5, ntyp = 3
/
ATOMIC_SPECIES
Al 26.98 Al.upf
N 14.01 N.upf
Ge 72.64 Ge.upf
ATOMIC_POSITIONS angstrom
Al 1.875 1.875 1.875
N 1.875 0.000 0.000
N 0.000 0.000 1.875
N 0.000 1.875 0.000
Ge 0.000 0.000 0.000
CELL_PARAMETERS angstrom
3.749 0.000 0.000
0.000 3.749 0.000
0.000 0.000 3.749
! - total magnetic moment (μB/f.u.) = 0.0
! - raw formation energy (meV per atom) = 1273
! - crystal system = cubic
! - D(E_F) (states/eV/atom) = 0.54

# 3
! MnRu2, single point on PBEsol structure, DFT SCAN; values from VASP
&SYSTEM
  ibrav = 0, nat = 12, ntyp = 2
/
ATOMIC_SPECIES
Ru 101.07 Ru.upf
Mn 54.94 Mn.upf
ATOMIC_POSITIONS angstrom
Ru -4.415 -3.889 4.953
Ru -3.665 -7.315 7.777
Ru -2.056 -2.860 4.295
Ru -3.434 -4.777 7.174
Ru -1.892 -2.596 -0.197
Ru 0.447 -1.595 -0.813
Ru -3.271 -4.513 2.682
Ru -3.020 -1.948 2.038
Mn -4.652 -6.434 5.567
Mn -0.934 -3.516 2.072
Mn -0.675 -0.939 1.410
Mn -2.284 -5.394 4.892
CELL_PARAMETERS angstrom
-3.303 -0.089 -1.641
0.914 -3.161 -1.668
-2.938 -4.122 10.286
! - total magnetic moment (μB/f.u.) = 1.7
! - formation enthalpy at 0 K (eV/atom) = -0.023
! - crystal system = tetragonal
! - D(E_F) (states/eV/atom) = 0.97

Which of these has the highest D(E_F)?
MnRu2

Which value of total magnetic moment does entry 1 give?
1.6 μB/f.u.